## 1
DFT (GGA-PBE) results for TmSb2Pd7 after structural relaxation.

Cell and atoms, written as CIF:
```
data_TmSb2Pd7
_space_group_name_H-M_alt 'C m m m'
_space_group_IT_number 65
_space_group_name_Hall '-C 2 2'
_cell_length_a 7.498
_cell_length_b 13.048
_cell_length_c 4.482
_cell_angle_alpha 90.00
_cell_angle_beta 90.00
_cell_angle_gamma 90.00
loop_
_atom_site_label
_atom_site_fract_x
_atom_site_fract_y
_atom_site_fract_z
Tm1 0.000 0.000 0.000
Sb1 0.000 0.303 0.500
Pd1 0.000 0.209 0.000
Pd2 0.000 0.500 0.500
Pd3 0.181 0.109 0.500
```

---

## 2
DFT (GGA-PBE) results for TmSb2Pd7 after structural relaxation.

Cell and atoms, written as CIF:
```
data_TmSb2Pd7
_space_group_name_H-M_alt 'I 4/m m m'
_space_group_IT_number 139
_space_group_name_Hall '-I 4 2'
_cell_length_a 4.111
_cell_length_b 4.111
_cell_length_c 22.140
_cell_angle_alpha 90.00
_cell_angle_beta 90.00
_cell_angle_gamma 90.00
loop_
_atom_site_label
_atom_site_fract_x
_atom_site_fract_y
_atom_site_fract_z
Tm1 0.000 0.000 0.000
Sb1 0.000 0.000 0.330
Pd1 0.000 0.000 0.500
Pd2 0.000 0.500 0.093
Pd3 0.000 0.500 0.250
```

---

Name the most stable of them. 2.

---

## 1
DFT (GGA-PBE) results for TmSb2Pd8 after structural relaxation.

Cell and atoms, written as CIF:
```
data_TmSb2Pd8
_space_group_name_H-M_alt 'I m m m'
_space_group_IT_number 71
_space_group_name_Hall '-I 2 2'
_cell_length_a 4.120
_cell_length_b 7.483
_cell_length_c 12.609
_cell_angle_alpha 90.00
_cell_angle_beta 90.00
_cell_angle_gamma 90.00
loop_
_atom_site_label
_atom_site_fract_x
_atom_site_fract_y
_atom_site_fract_z
Tm1 0.000 0.000 0.000
Sb1 0.000 0.000 0.324
Pd1 0.000 0.212 0.500
Pd2 0.000 0.269 0.167
Pd3 0.000 0.500 0.349
```

---

## 2
DFT (GGA-PBE) results for TmSb2Pd8 after structural relaxation.

Cell and atoms, written as CIF:
```
data_TmSb2Pd8
_space_group_name_H-M_alt 'C 1 2/m 1'
_space_group_IT_number 12
_space_group_name_Hall '-C 2y'
_cell_length_a 7.659
_cell_length_b 12.098
_cell_length_c 4.623
_cell_angle_alpha 90.00
_cell_angle_beta 110.69
_cell_angle_gamma 90.00
loop_
_atom_site_label
_atom_site_fract_x
_atom_site_fract_y
_atom_site_fract_z
Tm1 0.000 0.000 0.000
Sb1 0.000 0.318 0.500
Pd1 0.000 0.228 0.000
Pd2 0.112 0.500 0.826
Pd3 0.195 0.119 0.606
```

---

Name the most stable of them. 1.

---

## 1
DFT (GGA-PBE) results for TmSbPd4 after structural relaxation.

Cell and atoms, written as CIF:
```
data_TmSbPd4
_space_group_name_H-M_alt 'F -4 3 m'
_space_group_IT_number 216
_space_group_name_Hall 'F -4 2 3'
_cell_length_a 7.610
_cell_length_b 7.610
_cell_length_c 7.610
_cell_angle_alpha 90.00
_cell_angle_beta 90.00
_cell_angle_gamma 90.00
loop_
_atom_site_label
_atom_site_fract_x
_atom_site_fract_y
_atom_site_fract_z
Tm1 0.000 0.000 0.000
Sb1 0.250 0.250 0.750
Pd1 0.125 0.125 0.375
```

---

## 2
DFT (GGA-PBE) results for TmSbPd4 after structural relaxation.

Cell and atoms, written as CIF:
```
data_TmSbPd4
_space_group_name_H-M_alt 'P 1 21/c 1'
_space_group_IT_number 14
_space_group_name_Hall '-P 2ybc'
_cell_length_a 4.904
_cell_length_b 8.924
_cell_length_c 4.892
_cell_angle_alpha 90.00
_cell_angle_beta 94.46
_cell_angle_gamma 90.00
loop_
_atom_site_label
_atom_site_fract_x
_atom_site_fract_y
_atom_site_fract_z
Tm1 0.000 0.000 0.000
Sb1 0.500 0.000 0.500
Pd1 0.000 0.163 0.499
Pd2 0.499 0.666 0.494
```

---

Name the most stable of them. 2.

---

## 1
DFT (GGA-PBE) results for TmSbPd2 after structural relaxation.

Cell and atoms, written as CIF:
```
data_TmSbPd2
_space_group_name_H-M_alt 'P 4/m m m'
_space_group_IT_number 123
_space_group_name_Hall '-P 4 2'
_cell_length_a 4.388
_cell_length_b 4.388
_cell_length_c 4.072
_cell_angle_alpha 90.00
_cell_angle_beta 90.00
_cell_angle_gamma 90.00
loop_
_atom_site_label
_atom_site_fract_x
_atom_site_fract_y
_atom_site_fract_z
Tm1 0.000 0.000 0.000
Sb1 0.500 0.500 0.000
Pd1 0.000 0.500 0.500
```

---

## 2
DFT (GGA-PBE) results for TmSbPd2 after structural relaxation.

Cell and atoms, written as CIF:
```
data_TmSbPd2
_space_group_name_H-M_alt 'F m -3 m'
_space_group_IT_number 225
_space_group_name_Hall '-F 4 2 3'
_cell_length_a 6.760
_cell_length_b 6.760
_cell_length_c 6.760
_cell_angle_alpha 90.00
_cell_angle_beta 90.00
_cell_angle_gamma 90.00
loop_
_atom_site_label
_atom_site_fract_x
_atom_site_fract_y
_atom_site_fract_z
Tm1 0.000 0.000 0.000
Sb1 0.000 0.000 0.500
Pd1 0.250 0.250 0.250
```

---

Name the most stable of them. 2.

---

## 1
DFT (GGA-PBE) results for Tm4SbPd after structural relaxation.

Cell and atoms, written as CIF:
```
data_Tm4SbPd
_space_group_name_H-M_alt 'I 41 m d'
_space_group_IT_number 109
_space_group_name_Hall 'I 4bw -2'
_cell_length_a 9.414
_cell_length_b 9.414
_cell_length_c 8.791
_cell_angle_alpha 90.00
_cell_angle_beta 90.00
_cell_angle_gamma 90.00
loop_
_atom_site_label
_atom_site_fract_x
_atom_site_fract_y
_atom_site_fract_z
Tm1 0.000 0.188 0.000
Tm2 0.000 0.211 0.458
Sb1 0.000 0.000 0.717
Pd1 0.000 0.000 0.235
```

---

## 2
DFT (GGA-PBE) results for Tm4SbPd after structural relaxation.

Cell and atoms, written as CIF:
```
data_Tm4SbPd
_space_group_name_H-M_alt 'P 1 21/m 1'
_space_group_IT_number 11
_space_group_name_Hall '-P 2yb'
_cell_length_a 6.010
_cell_length_b 6.476
_cell_length_c 8.652
_cell_angle_alpha 90.00
_cell_angle_beta 110.09
_cell_angle_gamma 90.00
loop_
_atom_site_label
_atom_site_fract_x
_atom_site_fract_y
_atom_site_fract_z
Tm1 0.002 0.000 0.291
Tm2 0.391 0.250 0.099
Tm3 0.430 0.250 0.608
Sb1 0.195 0.750 0.042
Pd1 0.275 0.750 0.574
```

---

Name the most stable of them. 2.

---

## 1
DFT (GGA-PBE) results for V2Sb2Pd after structural relaxation.

Cell and atoms, written as CIF:
```
data_V2Sb2Pd
_space_group_name_H-M_alt 'P 4/m b m'
_space_group_IT_number 127
_space_group_name_Hall '-P 4 2ab'
_cell_length_a 7.297
_cell_length_b 7.297
_cell_length_c 3.398
_cell_angle_alpha 90.00
_cell_angle_beta 90.00
_cell_angle_gamma 90.00
loop_
_atom_site_label
_atom_site_fract_x
_atom_site_fract_y
_atom_site_fract_z
V1 0.116 0.384 0.000
Sb1 0.177 0.677 0.500
Pd1 0.000 0.000 0.000
```

---

## 2
DFT (GGA-PBE) results for V2Sb2Pd after structural relaxation.

Cell and atoms, written as CIF:
```
data_V2Sb2Pd
_space_group_name_H-M_alt 'P 4/m b m'
_space_group_IT_number 127
_space_group_name_Hall '-P 4 2ab'
_cell_length_a 7.516
_cell_length_b 7.516
_cell_length_c 3.254
_cell_angle_alpha 90.00
_cell_angle_beta 90.00
_cell_angle_gamma 90.00
loop_
_atom_site_label
_atom_site_fract_x
_atom_site_fract_y
_atom_site_fract_z
V1 0.115 0.385 0.000
Sb1 0.173 0.673 0.500
Pd1 0.000 0.000 0.500
```

---

Name the most stable of them. 1.

---

## 1
DFT (GGA-PBE) results for VSbPd6 after structural relaxation.

Cell and atoms, written as CIF:
```
data_VSbPd6
_space_group_name_H-M_alt 'R -3'
_space_group_IT_number 148
_space_group_name_Hall '-R 3'
_cell_length_a 7.4039
_cell_length_b 7.4039
_cell_length_c 8.3151
_cell_angle_alpha 90.00
_cell_angle_beta 90.00
_cell_angle_gamma 120.00
loop_
_atom_site_label
_atom_site_fract_x
_atom_site_fract_y
_atom_site_fract_z
V1 0.0000 0.0000 0.0000
Sb1 0.0000 0.0000 0.5000
Pd1 0.0053 0.3072 0.7487
```

---

## 2
DFT (GGA-PBE) results for VSbPd6 after structural relaxation.

Cell and atoms, written as CIF:
```
data_VSbPd6
_space_group_name_H-M_alt 'P 4/m m m'
_space_group_IT_number 123
_space_group_name_Hall '-P 4 2'
_cell_length_a 3.972
_cell_length_b 3.972
_cell_length_c 7.980
_cell_angle_alpha 90.00
_cell_angle_beta 90.00
_cell_angle_gamma 90.00
loop_
_atom_site_label
_atom_site_fract_x
_atom_site_fract_y
_atom_site_fract_z
V1 0.000 0.000 0.000
Sb1 0.000 0.000 0.500
Pd1 0.000 0.500 0.237
Pd2 0.500 0.500 0.000
Pd3 0.500 0.500 0.500
```

---

Name the most stable of them. 2.

---

## 1
DFT (GGA-PBE) results for Sb2Pd2W after structural relaxation.

Cell and atoms, written as CIF:
```
data_Sb2Pd2W
_space_group_name_H-M_alt 'P 4/m b m'
_space_group_IT_number 127
_space_group_name_Hall '-P 4 2ab'
_cell_length_a 7.342
_cell_length_b 7.342
_cell_length_c 3.509
_cell_angle_alpha 90.00
_cell_angle_beta 90.00
_cell_angle_gamma 90.00
loop_
_atom_site_label
_atom_site_fract_x
_atom_site_fract_y
_atom_site_fract_z
Sb1 0.178 0.322 0.000
Pd1 0.129 0.629 0.500
W1 0.000 0.000 0.500
```

---

## 2
DFT (GGA-PBE) results for Sb2Pd2W after structural relaxation.

Cell and atoms, written as CIF:
```
data_Sb2Pd2W
_space_group_name_H-M_alt 'I 4/m m m'
_space_group_IT_number 139
_space_group_name_Hall '-I 4 2'
_cell_length_a 4.190
_cell_length_b 4.190
_cell_length_c 12.040
_cell_angle_alpha 90.00
_cell_angle_beta 90.00
_cell_angle_gamma 90.00
loop_
_atom_site_label
_atom_site_fract_x
_atom_site_fract_y
_atom_site_fract_z
Sb1 0.000 0.500 0.250
Pd1 0.000 0.000 0.107
W1 0.000 0.000 0.500
```

---

Name the most stable of them. 1.

---

## 1
DFT (GGA-PBE) results for SbPd3W after structural relaxation.

Cell and atoms, written as CIF:
```
data_SbPd3W
_space_group_name_H-M_alt 'P m -3 m'
_space_group_IT_number 221
_space_group_name_Hall '-P 4 2 3'
_cell_length_a 4.848
_cell_length_b 4.848
_cell_length_c 4.848
_cell_angle_alpha 90.00
_cell_angle_beta 90.00
_cell_angle_gamma 90.00
loop_
_atom_site_label
_atom_site_fract_x
_atom_site_fract_y
_atom_site_fract_z
Sb1 0.000 0.000 0.000
Pd1 0.000 0.000 0.500
W1 0.500 0.500 0.500
```

---

## 2
DFT (GGA-PBE) results for SbPd3W after structural relaxation.

Cell and atoms, written as CIF:
```
data_SbPd3W
_space_group_name_H-M_alt 'P m -3 m'
_space_group_IT_number 221
_space_group_name_Hall '-P 4 2 3'
_cell_length_a 4.852
_cell_length_b 4.852
_cell_length_c 4.852
_cell_angle_alpha 90.00
_cell_angle_beta 90.00
_cell_angle_gamma 90.00
loop_
_atom_site_label
_atom_site_fract_x
_atom_site_fract_y
_atom_site_fract_z
Sb1 0.000 0.000 0.000
Pd1 0.000 0.500 0.500
W1 0.500 0.500 0.500
```

---

Name the most stable of them. 2.

---

## 1
DFT (GGA-PBE) results for Sb2PdW after structural relaxation.

Cell and atoms, written as CIF:
```
data_Sb2PdW
_space_group_name_H-M_alt 'I -4 2 d'
_space_group_IT_number 122
_space_group_name_Hall 'I -4 2bw'
_cell_length_a 6.112
_cell_length_b 6.112
_cell_length_c 12.034
_cell_angle_alpha 90.00
_cell_angle_beta 90.00
_cell_angle_gamma 90.00
loop_
_atom_site_label
_atom_site_fract_x
_atom_site_fract_y
_atom_site_fract_z
Sb1 0.249 0.250 0.125
Pd1 0.000 0.000 0.500
W1 0.000 0.000 0.000
```

---

## 2
DFT (GGA-PBE) results for Sb2PdW after structural relaxation.

Cell and atoms, written as CIF:
```
data_Sb2PdW
_space_group_name_H-M_alt 'F m -3 m'
_space_group_IT_number 225
_space_group_name_Hall '-F 4 2 3'
_cell_length_a 6.761
_cell_length_b 6.761
_cell_length_c 6.761
_cell_angle_alpha 90.00
_cell_angle_beta 90.00
_cell_angle_gamma 90.00
loop_
_atom_site_label
_atom_site_fract_x
_atom_site_fract_y
_atom_site_fract_z
Sb1 0.250 0.250 0.250
Pd1 0.000 0.000 0.000
W1 0.000 0.000 0.500
```

---

## 3
DFT (GGA-PBE) results for Sb2PdW after structural relaxation.

Cell and atoms, written as CIF:
```
data_Sb2PdW
_space_group_name_H-M_alt 'R -3 m'
_space_group_IT_number 166
_space_group_name_Hall '-R 3 2"'
_cell_length_a 3.1054
_cell_length_b 3.1054
_cell_length_c 29.6927
_cell_angle_alpha 90.00
_cell_angle_beta 90.00
_cell_angle_gamma 120.00
loop_
_atom_site_label
_atom_site_fract_x
_atom_site_fract_y
_atom_site_fract_z
Sb1 0.0000 0.0000 0.0929
Pd1 0.0000 0.0000 0.5000
W1 0.0000 0.0000 0.0000
```

---

Name the most stable of them. 2.

---

## 1
DFT (GGA-PBE) results for Sb3PdW after structural relaxation.

Cell and atoms, written as CIF:
```
data_Sb3PdW
_space_group_name_H-M_alt 'P m -3 m'
_space_group_IT_number 221
_space_group_name_Hall '-P 4 2 3'
_cell_length_a 5.134
_cell_length_b 5.134
_cell_length_c 5.134
_cell_angle_alpha 90.00
_cell_angle_beta 90.00
_cell_angle_gamma 90.00
loop_
_atom_site_label
_atom_site_fract_x
_atom_site_fract_y
_atom_site_fract_z
Sb1 0.000 0.000 0.500
Pd1 0.000 0.000 0.000
W1 0.500 0.500 0.500
```

---

## 2
DFT (GGA-PBE) results for Sb3PdW after structural relaxation.

Cell and atoms, written as CIF:
```
data_Sb3PdW
_space_group_name_H-M_alt 'P m -3 m'
_space_group_IT_number 221
_space_group_name_Hall '-P 4 2 3'
_cell_length_a 5.202
_cell_length_b 5.202
_cell_length_c 5.202
_cell_angle_alpha 90.00
_cell_angle_beta 90.00
_cell_angle_gamma 90.00
loop_
_atom_site_label
_atom_site_fract_x
_atom_site_fract_y
_atom_site_fract_z
Sb1 0.000 0.000 0.500
Pd1 0.500 0.500 0.500
W1 0.000 0.000 0.000
```

---

Name the most stable of them. 2.